Record 1
First-principles (PBE) data for a relaxed NaSc2Hg4 crystal, as listed in Alexandria via LeMat-Bulk.

a b c (Å): 4.9435 4.9435 23.6684
angles (deg): 90.00 90.00 120.00
Space group R-3m (No. 166, hexagonal axes)
Inequivalent atoms, fractional coordinates:
Na: 0.0000 0.0000 0.0000 [3 per cell]
Sc: 0.0000 0.0000 0.2514 [6 per cell]
Hg: 0.0000 0.0000 0.1283 [6 per cell]
Hg: 0.0000 0.0000 0.3834 [6 per cell]

---

Record 2
First-principles (PBE) data for a relaxed NaSc3Hg crystal, as listed in Alexandria via LeMat-Bulk.

## Properties
The value obtained for the distance to the lowest polymorph of the same formula is 558 meV/atom.

a b c (Å): 5.1429 5.1429 5.1429
angles (deg): 90.00 90.00 90.00
Space group Pm-3m (No. 221)
Inequivalent atoms, fractional coordinates:
Na: 0.0000 0.0000 0.0000 [1 per cell]
Sc: 0.0000 0.0000 0.5000 [3 per cell]
Hg: 0.5000 0.5000 0.5000 [1 per cell]

---

Record 3
First-principles (PBE) data for a relaxed NaSc2Hg2 crystal, as listed in Alexandria via LeMat-Bulk.

## Properties
The value obtained for the distance to the lowest polymorph of the same formula is 0 meV/atom.

a b c (Å): 8.2331 8.2331 3.5119
angles (deg): 90.00 90.00 90.00
Space group P4/mbm (No. 127)
Inequivalent atoms, fractional coordinates:
Na: 0.0000 0.0000 0.0000 [2 per cell]
Sc: 0.1545 0.3455 0.5000 [4 per cell]
Hg: 0.1422 0.6422 0.0000 [4 per cell]

---

Record 4
First-principles (PBE) data for a relaxed Na3ScHg4 crystal, as listed in Alexandria via LeMat-Bulk.

a b c (Å): 3.5798 3.5798 15.3792
angles (deg): 90.00 90.00 90.00
Space group P4/mmm (No. 123)
Inequivalent atoms, fractional coordinates:
Na: 0.0000 0.0000 0.0000 [1 per cell]
Na: 0.0000 0.0000 0.2624 [2 per cell]
Sc: 0.0000 0.0000 0.5000 [1 per cell]
Hg: 0.5000 0.5000 0.1286 [2 per cell]
Hg: 0.5000 0.5000 0.3917 [2 per cell]

---

DOS(E_F) list, top to bottom, in states/eV/f.u.: 5.25 5.58 2.62 4.85
Calculated total energy list, top to bottom, in eV per atom: -2.3245 -3.1810 -3.1496 -1.6946
Formation enthalpy at 0 K list, top to bottom, in eV/atom: -0.1546 0.9420 -0.2324 -0.2576